DFT (PBE) results for a relaxed Na2USiO4 crystal.

a = 4.7749 Å, b = 6.4963 Å, c = 6.5159 Å
α = 121.83°, β = 108.88°, γ = 108.69°
Closest atoms and distances in Å follow each position.
Positions (direct):
U 0.0000 0.5222 0.5221  4 O 2.34-2.42
Na 0.5009 0.2582 0.7589  2 O 2.40
Na 0.4991 0.7574 0.2581  2 O 2.40
O 0.0000 0.7145 0.9433  1 Si 1.67
O 0.3643 0.3365 0.3361  1 Si 1.65
O 0.0000 0.9449 0.7158  1 Si 1.67
O 0.6357 0.9722 0.9718  1 Si 1.65
Si 0.0000 0.9942 0.9940  4 O 1.65-1.67

## Properties
* uncorrected formation energy: -16.084 eV per formula unit
* magnetization: 3.239 μB per formula unit
* Fermi-level density of states: 6.97 states/eV per cell
* space group: Cm

---

DFT (PBE) results for a relaxed TbSm2Dy7 crystal.

a = 3.5121 Å, b = 14.7540 Å, c = 14.7541 Å
α = 154.60°, β = 90.00°, γ = 90.00°
Closest atoms and distances in Å follow each position.
Positions (direct):
Dy 0.5000 0.8517 0.6549  7 Dy 3.20-3.51, 1 Sm 3.55
Dy 0.0000 0.1857 0.8143  6 Dy 3.46-3.51, 6 Sm 3.54-3.74
Dy 0.0000 0.8143 0.1857  6 Dy 3.46-3.51, 6 Sm 3.54-3.74
Dy 0.5000 0.5000 0.5000  6 Dy 3.28-3.51
Dy 0.5000 0.6549 0.8517  7 Dy 3.20-3.51, 1 Sm 3.55
Dy 0.5000 0.3451 0.1483  7 Dy 3.20-3.51, 1 Sm 3.55
Dy 0.5000 0.1483 0.3451  7 Dy 3.20-3.51, 1 Sm 3.55
Tb 0.0000 0.0000 0.0000  2 Tb 3.51, 12 Dy 3.69-3.70
Sm 0.5000 0.2924 0.7076  2 Sm 3.51, 8 Dy 3.54-3.74
Sm 0.5000 0.7076 0.2924  2 Sm 3.51, 8 Dy 3.54-3.74

## Properties
* magnetization: 0.000 μB per formula unit
* Fermi-level density of states: 15.68 states/eV per cell
* energy of formation from the pure elements: 0.16 eV per atom
* space group: Cmmm
* excess energy over the best structure of this formula in the dataset: 144 meV/atom

---

DFT (PBE) results for a relaxed Rb2UTlTe4 crystal.

a = 4.6398 Å, b = 8.6913 Å, c = 8.4958 Å
α = 73.02°, β = 90.00°, γ = 90.00°
Closest atoms and distances in Å follow each position.
Positions (direct):
Rb 0.5000 0.0000 0.5000  6 Te 3.58-3.59
Rb 0.0000 0.0000 0.0000  6 Te 3.86-3.99
Te 0.5000 0.6932 0.2951  2 U 3.09, 1 Tl 3.40
Te 0.5000 0.3068 0.7049  2 U 3.09, 1 Tl 3.40
Te 0.0000 0.6997 0.7237  1 U 2.92
Te 0.0000 0.3003 0.2763  1 U 2.92
Tl 0.5000 0.5000 0.0000  6 Te 3.39-3.40
U 0.0000 0.5000 0.5000  6 Te 2.92-3.09

## Properties
* uncorrected formation energy: -6.006 eV per formula unit
* magnetization: 0.987 μB per formula unit
* Fermi-level density of states: 5.69 states/eV per cell
* space group: P2/m

---

DFT (PBE) results for a relaxed In2Sn2Hg3Pb4 crystal.

a = 4.5001 Å, b = 4.5001 Å, c = 19.4684 Å
α = 90.00°, β = 90.00°, γ = 120.00°
Closest atoms and distances in Å follow each position.
Positions (direct):
Pb 0.3333 0.6667 0.9129  3 Hg 3.10, 3 In 3.16
Pb 0.6667 0.3333 0.0871  3 Hg 3.10, 3 In 3.16
Pb 0.3333 0.6667 0.3595  4 Sn 3.23-3.55, 3 Hg 3.24, 1 In 3.51
Pb 0.6667 0.3333 0.6405  4 Sn 3.23-3.55, 3 Hg 3.24, 1 In 3.51
Hg 0.0000 0.0000 0.2599  3 In 3.04, 3 Pb 3.24
Hg 0.0000 0.0000 0.7401  3 In 3.04, 3 Pb 3.24
Hg 0.0000 0.0000 0.0000  6 Pb 3.10
Sn 0.3333 0.6667 0.5418  3 Sn 3.07, 3 Pb 3.23
Sn 0.6667 0.3333 0.4582  3 Sn 3.07, 3 Pb 3.23
In 0.6667 0.3333 0.8208  3 Hg 3.04, 3 Pb 3.16
In 0.3333 0.6667 0.1792  3 Hg 3.04, 3 Pb 3.16

## Properties
* magnetization: 0.000 μB per formula unit
* Fermi-level density of states: 4.28 states/eV per cell
* energy of formation from the pure elements: 0.09 eV per atom
* space group: P-3m1

---

DFT (PBE) results for a relaxed SnH2F6 crystal.

a = 5.4058 Å, b = 6.4523 Å, c = 6.4523 Å
α = 66.70°, β = 73.11°, γ = 73.11°
Closest atoms and distances in Å follow each position.
Positions (direct):
F 0.8424 0.1414 0.0799  1 Sn 2.02
F 0.5025 0.4128 0.8050  1 H 1.01
F 0.6576 0.9201 0.8586  1 Sn 2.02
F 0.1576 0.8586 0.9201  1 Sn 2.02
F 0.3424 0.0799 0.1414  1 Sn 2.02
F 0.9975 0.1950 0.5872  1 H 1.01
F 0.4697 0.2356 0.5113  1 H 1.38
F 0.9697 0.5113 0.2356  1 H 1.38
F 0.5303 0.7644 0.4887  1 H 1.38
F 0.0025 0.8050 0.4128  1 H 1.01
F 0.4975 0.5872 0.1950  1 H 1.01
F 0.0303 0.4887 0.7644  1 H 1.38
H 0.4898 0.4369 0.3273  1 F 1.01
H 0.9898 0.3273 0.4369  1 F 1.01
H 0.5102 0.5631 0.6727  1 F 1.01
H 0.0102 0.6727 0.5631  1 F 1.01
Sn 0.2500 0.1681 0.8319  4 F 2.01-2.02
Sn 0.7500 0.8319 0.1681  4 F 2.01-2.02

## Properties
* magnetization: 0.000 μB per formula unit
* Fermi-level density of states: 0.00 states/eV per cell
* space group: C2/c
* excess energy over the best structure of this formula in the dataset: 13 meV/atom

---

DFT (PBE) results for a relaxed Sr2ZnIn6Pd crystal.

a = 7.4713 Å, b = 7.2992 Å, c = 7.2186 Å
α = 60.70°, β = 59.87°, γ = 90.09°
Closest atoms and distances in Å follow each position.
Positions (direct):
In 0.8478 0.3433 0.8118  1 Pd 2.77, 1 Zn 2.81
In 0.8522 0.6567 0.9956  1 Pd 2.76, 1 Zn 2.85
In 0.8533 0.8451 0.4995  1 Pd 2.74, 1 Zn 2.80
In 0.1522 0.6567 0.1882  1 Pd 2.77, 1 Zn 2.81
In 0.1478 0.3433 0.0044  1 Pd 2.76, 1 Zn 2.85
In 0.1467 0.1549 0.5005  1 Pd 2.74, 1 Zn 2.80
Sr 0.4435 0.8114 0.3748  1 Pd 3.40, 6 In 3.45-3.64
Sr 0.5565 0.1886 0.6252  1 Pd 3.40, 6 In 3.45-3.64
Zn 0.5000 0.5000 0.0000  6 In 2.80-2.85
Pd 0.0000 0.0000 0.0000  6 In 2.74-2.77

## Properties
* magnetization: 0.000 μB per formula unit
* Fermi-level density of states: 4.82 states/eV per cell
* energy of formation from the pure elements: -0.26 eV per atom
* space group: P-1

---

DFT (PBE) results for a relaxed Nd3Si2Pt7 crystal.

a = 4.0885 Å, b = 4.1910 Å, c = 14.5071 Å
α = 98.31°, β = 90.00°, γ = 90.00°
Closest atoms and distances in Å follow each position.
Positions (direct):
Pt 0.5000 0.8761 0.7522  2 Si 2.38
Pt 0.0000 0.6226 0.2451  2 Si 2.40
Pt 0.0000 0.0000 0.0000  2 Si 2.35
Pt 0.5000 0.1239 0.2478  2 Si 2.38
Pt 0.0000 0.3774 0.7549  2 Si 2.40
Pt 0.0000 0.2121 0.4241  6 Nd 2.95-3.26, 4 Pt 3.02-3.25
Pt 0.0000 0.7879 0.5759  6 Nd 2.95-3.26, 4 Pt 3.02-3.25
Nd 0.5000 0.3003 0.6006  10 Pt 2.95-3.26
Nd 0.5000 0.6997 0.3994  10 Pt 2.95-3.26
Nd 0.5000 0.5000 0.0000  4 Pt 2.93
Si 0.0000 0.0818 0.1635  5 Pt 2.35-2.40
Si 0.0000 0.9182 0.8365  5 Pt 2.35-2.40

## Properties
* uncorrected formation energy: -10.819 eV per formula unit
* magnetization: 0.000 μB per formula unit
* Fermi-level density of states: 5.16 states/eV per cell
* space group: Cmmm

---

DFT (PBE) results for a relaxed TcOs crystal.

a = 2.7533 Å, b = 2.7533 Å, c = 8.7743 Å
α = 90.00°, β = 90.00°, γ = 120.00°
Closest atoms and distances in Å follow each position.
Positions (direct):
Os 0.3333 0.6667 0.2493  9 Os 2.70-2.75, 3 Tc 2.70
Os 0.0000 0.0000 0.0007  9 Os 2.70-2.75, 3 Tc 2.70
Tc 0.3333 0.6667 0.7519  3 Os 2.70, 9 Tc 2.74-2.75
Tc 0.0000 0.0000 0.4981  3 Os 2.70, 9 Tc 2.74-2.75

## Properties
* magnetization: 0.000 μB per formula unit
* Fermi-level density of states: 2.81 states/eV per cell
* energy of formation from the pure elements: -0.04 eV per atom
* space group: P-3m1
* excess energy over the best structure of this formula in the dataset: 45 meV/atom

---

DFT (PBE) results for a relaxed ZrTi2Sn crystal.

a = 5.4195 Å, b = 3.0449 Å, c = 4.8500 Å
α = 90.00°, β = 90.00°, γ = 95.67°
Closest atoms and distances in Å follow each position.
Positions (direct):
Zr 0.7500 0.2500 0.5000  4 Ti 2.87, 2 Sn 2.97, 2 Zr 3.04
Ti 0.5194 0.5070 0.0000  4 Ti 2.78-3.08, 2 Zr 2.87, 2 Sn 2.96
Ti 0.9806 0.9930 0.0000  4 Ti 2.78-3.08, 2 Zr 2.87, 2 Sn 2.96
Sn 0.2500 0.7500 0.5000  4 Ti 2.96, 4 Zr 2.97-3.24, 2 Sn 3.04

## Properties
* magnetization: 0.000 μB per formula unit
* Fermi-level density of states: 6.34 states/eV per cell
* energy of formation from the pure elements: -0.12 eV per atom
* space group: P2/m

---

DFT (PBE) results for a relaxed Al3Te crystal.

a = 3.0701 Å, b = 3.0701 Å, c = 10.1384 Å
α = 90.00°, β = 90.00°, γ = 120.00°
Closest atoms and distances in Å follow each position.
Positions (direct):
Al 0.0000 0.0000 0.0200  9 Al 2.93-3.07, 3 Te 3.26
Al 0.6667 0.3333 0.2500  12 Al 2.93-3.07
Al 0.0000 0.0000 0.4800  9 Al 2.93-3.07, 3 Te 3.26
Te 0.6667 0.3333 0.7500  6 Te 3.07, 6 Al 3.26

## Properties
* uncorrected formation energy: 1.102 eV per formula unit
* magnetization: 0.000 μB per formula unit
* Fermi-level density of states: 1.86 states/eV per cell
* space group: P-6m2
* excess energy over the best structure of this formula in the dataset: 229 meV/atom

---

DFT (PBE) results for a relaxed Ce4HgPb5 crystal.

a = 5.8450 Å, b = 6.6186 Å, c = 8.3177 Å
α = 98.35°, β = 110.57°, γ = 90.00°
Closest atoms and distances in Å follow each position.
Positions (direct):
Ce 0.6913 0.3237 0.3825  6 Pb 3.18-3.52, 1 Hg 3.39
Ce 0.0933 0.8186 0.1865  5 Pb 3.20-3.39, 2 Hg 3.55
Ce 0.9067 0.1814 0.8135  5 Pb 3.20-3.39, 2 Hg 3.55
Ce 0.3087 0.6763 0.6175  6 Pb 3.18-3.52, 1 Hg 3.39
Pb 0.8884 0.6641 0.7768  6 Ce 3.18-3.52, 1 Pb 3.26
Pb 0.1116 0.3359 0.2232  6 Ce 3.18-3.52, 1 Pb 3.26
Pb 0.7008 0.8235 0.4016  2 Pb 3.26-3.51, 6 Ce 3.29-3.58, 1 Hg 3.50
Pb 0.5000 0.5000 0.0000  2 Hg 3.31, 2 Ce 3.36, 6 Pb 3.51-3.65
Pb 0.2992 0.1765 0.5984  2 Pb 3.26-3.51, 6 Ce 3.29-3.58, 1 Hg 3.50
Hg 0.5000 0.0000 0.0000  4 Pb 3.31-3.50, 6 Ce 3.39-3.55

## Properties
* magnetization: 3.827 μB per formula unit
* Fermi-level density of states: 27.61 states/eV per cell
* energy of formation from the pure elements: -0.33 eV per atom
* space group: C2/m
* excess energy over the best structure of this formula in the dataset: 0 meV/atom

---

DFT (PBE) results for a relaxed Hf2BN2 crystal.

a = 6.2538 Å, b = 6.2538 Å, c = 3.0261 Å
α = 90.00°, β = 90.00°, γ = 90.00°
Closest atoms and distances in Å follow each position.
Positions (direct):
B 0.0000 0.0000 0.0000  4 Hf 2.32
B 0.5000 0.5000 0.0000  4 Hf 2.32
Hf 0.1707 0.3293 0.0000  2 N 2.22, 2 B 2.32
Hf 0.6707 0.1707 0.0000  2 N 2.22, 2 B 2.32
Hf 0.8293 0.6707 0.0000  2 N 2.22, 2 B 2.32
Hf 0.3293 0.8293 0.0000  2 N 2.22, 2 B 2.32
N 0.8547 0.3547 0.5000  2 Hf 2.22
N 0.3547 0.1453 0.5000  2 Hf 2.22
N 0.1453 0.6453 0.5000  2 Hf 2.22
N 0.6453 0.8547 0.5000  2 Hf 2.22

## Properties
* uncorrected formation energy: -1.980 eV per formula unit
* magnetization: 0.000 μB per formula unit
* Fermi-level density of states: 5.33 states/eV per cell
* space group: P4/mbm
* excess energy over the best structure of this formula in the dataset: 63 meV/atom

---

Which of these has the highest Fermi-level density of states?
Ce4HgPb5